Here is crystalline TbAgBr4 at its relaxed geometry from Alexandria. Energies are from PBE.

Lattice parameters (Å, degrees): 11.2353 11.2353 8.2422 106.02 106.02 29.55
With the nearest neighbours (Å) after each atom.
Positions (direct):
Tb: 0.1796 0.1796 0.0770  5 Br 2.67-2.91
Tb: 0.8204 0.8204 0.9230  5 Br 2.67-2.91
Ag: 0.1740 0.1740 0.5131  3 Br 2.70-2.77
Ag: 0.8260 0.8260 0.4869  3 Br 2.70-2.77
Br: 0.0806 0.0806 0.2083  1 Tb 2.67, 1 Ag 2.74
Br: 0.1087 0.1087 0.7464  1 Ag 2.70, 1 Tb 2.72
Br: 0.2793 0.2793 0.3861  3 Ag 2.77-3.07, 1 Tb 2.83
Br: 0.2978 0.2978 0.9371  3 Tb 2.91-3.10
Br: 0.7022 0.7022 0.0629  3 Tb 2.91-3.10
Br: 0.7207 0.7207 0.6139  3 Ag 2.77-3.07, 1 Tb 2.83
Br: 0.8913 0.8913 0.2536  1 Ag 2.70, 1 Tb 2.72
Br: 0.9194 0.9194 0.7917  1 Tb 2.67, 1 Ag 2.74

- density of states at the Fermi level (states/eV/cell) = 0.0
- offset from the most stable computed form (kcal/mol of atoms) = 1.19